(1)
A relaxed CsTiN2F crystal. Source: Alexandria, functional PBE-GGA.

Relative energy among the computed polymorphs   0 meV per atom
Formation energy (no corrections)   -0.756 eV/atom
E_tot   -6.2101 eV/atom
Space group   P4/mmm (123)
Crystal system   tetragonal

a b c (Å): 3.9979 3.9979 4.8939
angles (deg): 90.00 90.00 90.00
Fractional positions:
F  0.0000  0.0000  0.5000
N  0.0000  0.5000  0.0000
Cs  0.5000  0.5000  0.5000
Ti  0.0000  0.0000  0.0000
N  0.5000  0.0000  0.0000



(2)
A relaxed Cs2TiNF6 crystal. Source: Alexandria, functional PBE-GGA.

Formation energy (no corrections)   -2.423 eV/atom
E_tot   -5.3381 eV/atom
Space group   I4/mmm (139)
Crystal system   tetragonal

a b c (Å): 6.6291 6.6291 6.6561
angles (deg): 60.13 60.13 90.00
Site moments in Bohr magnetons follow the coordinates.
Fractional positions:
F  0.7980  0.2020  0.0000  0.01
Ti  0.0000  0.0000  0.0000  0.01
Cs  0.2500  0.7500  0.5000  0.00
F  0.2020  0.2020  0.0000  0.01
F  0.7996  0.7996  0.4008  0.01
Cs  0.7500  0.2500  0.5000  0.00
F  0.2004  0.2004  0.5992  0.01
F  0.2020  0.7980  0.0000  0.01
N  0.5000  0.5000  0.0000  1.93
F  0.7980  0.7980  0.0000  0.01



(3)
A relaxed Cs2TiNF crystal. Source: Alexandria, functional PBE-GGA.

Formation energy (no corrections)   0.695 eV/atom
E_tot   -3.2650 eV/atom
Space group   P4/mmm (123)
Crystal system   tetragonal

a b c (Å): 5.5006 6.3939 5.5006
angles (deg): 90.00 90.00 90.00
Site moments in Bohr magnetons follow the coordinates.
Fractional positions:
N  0.0000  0.5000  0.0000  1.43
Cs  0.5000  0.0000  0.0000  0.02
Cs  0.0000  0.0000  0.5000  0.02
Ti  0.5000  0.5000  0.5000  2.14
F  0.0000  0.0000  0.0000  0.02



(4)
A relaxed CsTiN2F crystal. Source: Alexandria, functional PBE-GGA.

Relative energy among the computed polymorphs   2517 meV per atom
Formation energy (no corrections)   1.761 eV/atom
E_tot   -3.6929 eV/atom
Space group   P4/mmm (123)
Crystal system   tetragonal

a b c (Å): 4.3951 4.3951 4.8315
angles (deg): 90.00 90.00 90.00
Site moments in Bohr magnetons follow the coordinates.
Fractional positions:
Cs  0.0000  0.0000  0.0000  0.00
F  0.0000  0.0000  0.5000  0.00
Ti  0.5000  0.5000  0.5000  0.09
N  0.5000  0.0000  0.0000  -0.10
N  0.0000  0.5000  0.0000  -0.10



- What is the formation energy (no corrections) in the first record?
  -0.756 eV/atom



Copy entry 3 word for word.
A relaxed Cs2TiNF crystal. Source: Alexandria, functional PBE-GGA.

Formation energy (no corrections)   0.695 eV/atom
E_tot   -3.2650 eV/atom
Space group   P4/mmm (123)
Crystal system   tetragonal

a b c (Å): 5.5006 6.3939 5.5006
angles (deg): 90.00 90.00 90.00
Site moments in Bohr magnetons follow the coordinates.
Fractional positions:
N  0.0000  0.5000  0.0000  1.43
Cs  0.5000  0.0000  0.0000  0.02
Cs  0.0000  0.0000  0.5000  0.02
Ti  0.5000  0.5000  0.5000  2.14
F  0.0000  0.0000  0.0000  0.02